## KCrO3 (PBE with a Hubbard U)

Data for a geometry-optimized KCrO3 structure. Values from VASP.

Properties
E_tot (eV/cell): -61.53
Crystal system: monoclinic
Space group: P2_1/m (11)
M_tot (μB per cell): 2.000

Cell and atoms, written as Quantum ESPRESSO input:
```
&SYSTEM
  ibrav = 0, nat = 10, ntyp = 3
/
ATOMIC_SPECIES
K 39.10 K.upf
Cr 52.00 Cr.upf
O 16.00 O.upf
CELL_PARAMETERS angstrom
3.1113 0.4840 0.0000
-0.6991 4.3565 0.0000
0.0000 0.0000 11.4332
ATOMIC_POSITIONS crystal
K 0.5000 0.0000 0.0000
K 0.5000 0.0000 0.5000
Cr 0.9987 0.4343 0.7500
Cr 0.0013 0.5657 0.2500
O 0.9990 0.6183 0.6242
O 0.0010 0.3817 0.3758
O 0.0010 0.3817 0.1242
O 0.9990 0.6183 0.8758
O 0.4972 0.2077 0.7500
O 0.5028 0.7923 0.2500
```